# 1
A relaxed LiTbNi4 crystal, computed with PBE.

a = 4.8999 Å, b = 4.8999 Å, c = 4.8999 Å
α = 60.00°, β = 60.00°, γ = 60.00°
Positions (direct):
Ni: 0.6256 0.6256 0.1231
Ni: 0.6256 0.1231 0.6256
Ni: 0.6256 0.6256 0.6256
Ni: 0.1231 0.6256 0.6256
Tb: 0.2500 0.2500 0.2500
Li: 0.0000 0.0000 0.0000

Computed properties:
Density: 7997 kg/m³
Calculated total energy: -0.3877 Ry/atom
Energy of formation: -0.33 eV/atom

---

# 2
A relaxed LiTbTmNi crystal, computed with PBE.

a = 4.8967 Å, b = 4.8967 Å, c = 4.8967 Å
α = 60.00°, β = 60.00°, γ = 60.00°
Positions (direct):
Ni: 0.2500 0.2500 0.2500
Tm: 0.5000 0.5000 0.5000
Tb: 0.0000 0.0000 0.0000
Li: 0.7500 0.7500 0.7500

Computed properties:
Density: 7871 kg/m³
Calculated total energy: -0.3198 Ry/atom
Energy of formation: -0.15 eV/atom

---

# 3
A relaxed LiTcNi2 crystal, computed with PBE.

a = 4.4785 Å, b = 4.4785 Å, c = 2.5381 Å
α = 90.04°, β = 90.04°, γ = 107.06°
Each line ends with the local moment (μB).
Positions (direct):
Li: 0.0000 0.5000 0.5000  -0.01
Ni: 0.0000 0.0000 0.0000  0.30
Ni: 0.5000 0.5000 0.0000  0.30
Tc: 0.5000 0.0000 0.5000  0.53

Computed properties:
Density: 7586 kg/m³
Calculated total energy: -0.4344 Ry/atom
Energy of formation: 0.05 eV/atom
Energy above the lowest structure with this stoichiometry: 0.0339 eV/atom

---

# 4
A relaxed LiTcNi2 crystal, computed with PBE.

a = 6.4031 Å, b = 6.4031 Å, c = 5.1728 Å
α = 51.76°, β = 51.76°, γ = 90.00°
Each line ends with the local moment (μB).
Positions (direct):
Ni: 0.6145 0.1250 0.2500  0.44
Ni: 0.1355 0.6250 0.2500  0.44
Ni: 0.3750 0.3855 0.7500  0.46
Ni: 0.8750 0.8645 0.7500  0.47
Tc: 0.0000 0.0000 0.0000  1.07
Tc: 0.7500 0.2500 0.5000  1.09
Li: 0.5000 0.5000 0.0000  0.00
Li: 0.2500 0.7500 0.5000  0.00

Computed properties:
Density: 7199 kg/m³
Calculated total energy: -0.3957 Ry/atom
Energy of formation: 0.58 eV/atom
Energy above the lowest structure with this stoichiometry: 0.5606 eV/atom

---

# 5
A relaxed LiTcNi2 crystal, computed with PBE.

a = 8.7541 Å, b = 8.7541 Å, c = 8.7541 Å
α = 17.05°, β = 17.05°, γ = 17.05°
Positions (direct):
Li: 0.7447 0.7447 0.7447
Ni: 0.9972 0.9972 0.9972
Ni: 0.2524 0.2524 0.2524
Tc: 0.5057 0.5057 0.5057

Computed properties:
Density: 7334 kg/m³
Calculated total energy: -0.4270 Ry/atom
Energy of formation: 0.15 eV/atom
Energy above the lowest structure with this stoichiometry: 0.1341 eV/atom

---

# 6
A relaxed LiTcNi2 crystal, computed with PBE.

a = 4.7727 Å, b = 4.7727 Å, c = 4.7727 Å
α = 146.89°, β = 127.88°, γ = 63.15°
Positions (direct):
Li: 0.2500 0.7500 0.5000
Ni: 0.0103 0.0103 0.0000
Ni: 0.4897 0.4897 0.0000
Tc: 0.7500 0.2500 0.5000

Computed properties:
Density: 7960 kg/m³
Calculated total energy: -0.4219 Ry/atom
Energy of formation: 0.22 eV/atom
Energy above the lowest structure with this stoichiometry: 0.2044 eV/atom

---

# 7
A relaxed LiTcNi2 crystal, computed with PBE.

a = 4.3604 Å, b = 4.3604 Å, c = 4.3604 Å
α = 129.67°, β = 129.67°, γ = 73.93°
Each line ends with the local moment (μB).
Positions (direct):
Li: 0.7500 0.2500 0.5000  -0.01
Ni: 0.0000 0.0000 0.0000  0.48
Ni: 0.5000 0.5000 0.0000  0.48
Tc: 0.2500 0.7500 0.5000  1.08

Computed properties:
Density: 7707 kg/m³
Calculated total energy: -0.4258 Ry/atom
Energy of formation: 0.17 eV/atom
Energy above the lowest structure with this stoichiometry: 0.1510 eV/atom

---

# 8
A relaxed LiTcNi14 crystal, computed with PBE.

a = 4.9994 Å, b = 4.9994 Å, c = 7.1001 Å
α = 90.00°, β = 90.00°, γ = 90.00°
Each line ends with the local moment (μB).
Positions (direct):
Li: 0.3751 0.6249 0.0000  -0.01
Tc: 0.8750 0.1250 0.0000  -0.11
Ni: 0.3750 0.6250 0.5000  0.50
Ni: 0.8750 0.1250 0.5000  0.84
Ni: 0.8751 0.6250 0.0000  0.24
Ni: 0.8750 0.6250 0.5000  0.55
Ni: 0.3750 0.1249 0.0000  0.24
Ni: 0.3750 0.1250 0.5000  0.55
Ni: 0.6251 0.8751 0.7466  0.42
Ni: 0.6251 0.8751 0.2534  0.42
Ni: 0.1249 0.3749 0.7466  0.42
Ni: 0.1249 0.3749 0.2534  0.42
Ni: 0.1249 0.8751 0.7467  0.42
Ni: 0.1249 0.8751 0.2533  0.42
Ni: 0.6251 0.3749 0.7466  0.42
Ni: 0.6251 0.3749 0.2534  0.42

Computed properties:
Density: 8671 kg/m³
Calculated total energy: -0.4280 Ry/atom
Energy of formation: 0.00 eV/atom